No. 1
# CaIO3, relaxed, DFT PBE
data_CaIO3
_symmetry_space_group_name_H-M 'P 1 2/m 1'
_symmetry_Int_Tables_number 10
_cell_length_a 7.134
_cell_length_b 3.271
_cell_length_c 7.167
_cell_angle_alpha 90.00
_cell_angle_beta 102.40
_cell_angle_gamma 90.00
loop_
_symmetry_equiv_pos_as_xyz
'x,y,z'
'-x,-y,-z'
'-x,y,-z'
'x,-y,z'
loop_
_atom_site_label
_atom_site_type_symbol
_atom_site_fract_x
_atom_site_fract_y
_atom_site_fract_z
Ca1 Ca 0.212 0.000 0.290
I1 I 0.306 0.500 0.806
O1 O 0.035 0.500 0.791
O2 O 0.292 0.500 0.537
O3 O 0.369 0.500 0.134
# Energy relative to the elements, uncorrected (eV per atom): -1.333
# Calculated volume (Å³/atom): 16.3

---

No. 2
# Co3RuRh, relaxed, DFT PBE
data_Co3RuRh
_symmetry_space_group_name_H-M 'P m -3 m'
_symmetry_Int_Tables_number 221
_symmetry_space_group_name_Hall '-P 4 2 3'
_cell_length_a 4.356
_cell_length_b 4.356
_cell_length_c 4.356
_cell_angle_alpha 90.00
_cell_angle_beta 90.00
_cell_angle_gamma 90.00
loop_
_atom_site_label
_atom_site_type_symbol
_atom_site_fract_x
_atom_site_fract_y
_atom_site_fract_z
Co1 Co 0.000 0.000 0.500
Ru1 Ru 0.000 0.000 0.000
Rh1 Rh 0.500 0.500 0.500
# ΔE to the lowest computed polymorph (eV per atom): 0.000
# Calculated volume (Å³/atom): 16.5
# Energy of formation (eV/atom): 1.588

---

No. 3
# NbAg2Au, relaxed, DFT PBE
data_NbAg2Au
_symmetry_space_group_name_H-M 'I -4 2 d'
_symmetry_Int_Tables_number 122
_symmetry_space_group_name_Hall 'I -4 2bw'
_cell_length_a 7.596
_cell_length_b 7.596
_cell_length_c 5.494
_cell_angle_alpha 90.00
_cell_angle_beta 90.00
_cell_angle_gamma 90.00
loop_
_atom_site_label
_atom_site_type_symbol
_atom_site_fract_x
_atom_site_fract_y
_atom_site_fract_z
Nb1 Nb 0.000 0.000 0.000
Ag1 Ag 0.248 0.250 0.625
Au1 Au 0.000 0.000 0.500
# ΔE to the lowest computed polymorph (eV per atom): 0.370
# Calculated volume (Å³/atom): 19.8
# Energy of formation (eV/atom): 0.650